1.
PrAs2Rh5 after structural relaxation. Source: Alexandria, functional PBE-GGA.

Values from the calculation:
total moment = 0.00 Bohr magnetons per cell
E_form = -628.6 meV/atom
uncorrected energy = -6.983 eV per atom

Unit cell a=6.3240 b=6.3240 c=6.3240 alpha=143.47 beta=112.32 gamma=79.43
With the nearest neighbours (Å) after each atom.
Element x y z (fractional)
Pr: 0.0000 0.0000 0.0000  4 As 3.17, 10 Rh 3.24-3.52
As: 0.2547 0.7547 0.5000  7 Rh 2.39-2.60
As: 0.7453 0.2453 0.5000  7 Rh 2.39-2.60
Rh: 0.1580 0.3543 0.8037  3 As 2.39-2.60
Rh: 0.4493 0.6457 0.8037  3 As 2.39-2.60
Rh: 0.5000 0.0000 0.5000  2 As 2.39
Rh: 0.5507 0.3543 0.1963  3 As 2.39-2.60
Rh: 0.8420 0.6457 0.1963  3 As 2.39-2.60



2.
Tl2Hg3 after structural relaxation. Source: Alexandria, functional PBE-GGA.

Values from the calculation:
E above lowest polymorph = 0.000 eV per formula unit
total moment = 0.00 Bohr magnetons per cell
E_form = 19.4 meV/atom
uncorrected energy = -1.108 eV per atom

Unit cell a=7.0420 b=7.0420 c=7.5970 alpha=90.00 beta=90.00 gamma=127.43
With the nearest neighbours (Å) after each atom.
Element x y z (fractional)
Tl: 0.1200 0.8800 0.8710  5 Hg 3.20-3.32
Tl: 0.3800 0.6200 0.3710  5 Hg 3.20-3.32
Tl: 0.6200 0.3800 0.6290  5 Hg 3.20-3.32
Tl: 0.8800 0.1200 0.1290  5 Hg 3.20-3.32
Hg: 0.0000 0.0000 0.5000  2 Tl 3.20, 4 Hg 3.21
Hg: 0.0866 0.4134 0.7500  4 Hg 3.12-3.21, 4 Tl 3.28-3.32
Hg: 0.4134 0.0866 0.2500  4 Hg 3.12-3.21, 4 Tl 3.28-3.32
Hg: 0.5000 0.5000 0.0000  2 Tl 3.20, 4 Hg 3.21
Hg: 0.5866 0.9134 0.7500  4 Hg 3.12-3.21, 4 Tl 3.28-3.32
Hg: 0.9134 0.5866 0.2500  4 Hg 3.12-3.21, 4 Tl 3.28-3.32



3.
BeRh2 after structural relaxation. Source: Alexandria, functional PBE-GGA.

Values from the calculation:
total moment = 0.00 Bohr magnetons per cell
E_form = -63.0 meV/atom
uncorrected energy = -6.206 eV per atom

Unit cell a=3.8158 b=3.8158 c=3.8158 alpha=60.00 beta=60.00 gamma=60.00
With the nearest neighbours (Å) after each atom.
Element x y z (fractional)
Be: 0.0000 0.0000 0.0000  8 Rh 2.34
Rh: 0.2500 0.2500 0.2500  4 Be 2.34
Rh: 0.7500 0.7500 0.7500  4 Be 2.34



4.
TiTcBiF2 after structural relaxation. Source: Alexandria, functional PBE-GGA.

Values from the calculation:
formation energy without anion corrections = -2.11 eV per formula unit
total moment = 2.77 Bohr magnetons per cell
uncorrected energy = -5.598 eV per atom

Unit cell a=4.0876 b=4.0876 c=6.0996 alpha=90.00 beta=90.00 gamma=90.00
With the nearest neighbours (Å) after each atom.
Element x y z (fractional)
Ti: 0.0000 0.0000 0.0000  4 Bi 2.89
Tc: 0.5000 0.5000 0.5000  4 F 2.04
Bi: 0.5000 0.5000 0.0000  4 Ti 2.89, 2 Tc 3.05
F: 0.0000 0.5000 0.5000  2 Tc 2.04
F: 0.5000 0.0000 0.5000  2 Tc 2.04



- Among the records above, which one has the highest uncorrected energy?
  Tl2Hg3



- Which value of total moment does entry 1 give?
  0.00 Bohr magnetons per cell



- What is the formula in the second record?
  Tl2Hg3



- Among the records above, which one has the lowest uncorrected energy?
  PrAs2Rh5